P | First-principles (PBE-GGA) data for a relaxed Pm2Ge3Pt2 crystal, as listed in Alexandria via LeMat-Bulk. Values from VASP.

Structure (Quantum ESPRESSO input):
```
&SYSTEM
  ibrav = 0, nat = 14, ntyp = 3
/
ATOMIC_SPECIES
Pm 145.00 Pm.upf
Ge 72.64 Ge.upf
Pt 195.08 Pt.upf
CELL_PARAMETERS angstrom
-0.7971 0.5233 -4.2010
6.6073 -2.1876 -1.5262
-2.6106 -8.9903 1.5843
ATOMIC_POSITIONS angstrom
Pm 0.7193 -3.2518 -0.5415
Pm 2.4802 -7.4028 -3.6014
Pm -1.4274 -8.0610 -2.9419
Pm 4.6270 -2.5937 -1.2010
Ge 3.6077 -5.5503 -1.3759
Ge -0.4081 -5.1044 -2.7671
Ge 2.0935 -1.7816 -2.8279
Ge 1.1061 -8.8731 -1.3151
Ge 3.5404 -9.6791 -1.8774
Ge -0.3408 -0.9756 -2.2656
Pt 4.7229 -5.2129 -3.7542
Pt -1.5234 -5.4418 -0.3888
Pt 1.1472 -6.3260 -1.0056
Pt 2.0524 -4.3287 -3.1373
```

Size of the total moment (μB/f.u.): 0.0

Q | First-principles (PBE-GGA) data for a relaxed Pm2Ge3Pt2 crystal, as listed in Alexandria via LeMat-Bulk. Values from VASP.

Structure (Quantum ESPRESSO input):
```
&SYSTEM
  ibrav = 0, nat = 7, ntyp = 3
/
ATOMIC_SPECIES
Pm 145.00 Pm.upf
Ge 72.64 Ge.upf
Pt 195.08 Pt.upf
CELL_PARAMETERS angstrom
4.3568 0.0000 0.0000
-2.1784 5.1525 0.2836
0.0000 -2.3908 6.3034
ATOMIC_POSITIONS angstrom
Pm 2.1784 3.1238 1.5199
Pm 0.0000 -0.3622 5.0671
Ge 2.1784 0.0000 0.0000
Ge 2.1784 0.0821 2.8398
Ge 0.0000 2.6796 3.7472
Pt 2.1784 1.8158 4.8186
Pt 0.0000 0.9459 1.7684
```

Size of the total moment (μB/f.u.): 0.0

Relative energy of each structure, in meV per atom: P 0; Q 90.

P | First-principles (PBE-GGA) data for a relaxed PmGePtRh crystal, as listed in Alexandria via LeMat-Bulk. Values from VASP.

Structure (Quantum ESPRESSO input):
```
&SYSTEM
  ibrav = 0, nat = 4, ntyp = 4
/
ATOMIC_SPECIES
Pm 145.00 Pm.upf
Ge 72.64 Ge.upf
Pt 195.08 Pt.upf
Rh 102.91 Rh.upf
CELL_PARAMETERS angstrom
4.0221 0.0000 0.0000
0.0000 4.1379 0.0000
-2.0110 -2.0690 5.1668
ATOMIC_POSITIONS angstrom
Pm 2.0110 2.0690 4.8313
Ge 0.0000 2.0689 2.2303
Pt 0.0000 0.0000 3.4993
Rh 2.0110 2.0690 0.9646
```

Size of the total moment (μB/f.u.): 0.0

Q | First-principles (PBE-GGA) data for a relaxed PmGePtRh crystal, as listed in Alexandria via LeMat-Bulk. Values from VASP.

Structure (Quantum ESPRESSO input):
```
&SYSTEM
  ibrav = 0, nat = 4, ntyp = 4
/
ATOMIC_SPECIES
Ge 72.64 Ge.upf
Rh 102.91 Rh.upf
Pt 195.08 Pt.upf
Pm 145.00 Pm.upf
CELL_PARAMETERS angstrom
-2.9077 0.8946 3.6201
-2.2819 -3.5503 2.1328
1.2131 -1.2958 4.3829
ATOMIC_POSITIONS angstrom
Ge -2.9824 -2.9636 7.6019
Rh -1.9883 -1.9757 5.0679
Pt 0.0000 0.0000 0.0000
Pm -0.9941 -0.9879 2.5340
```

Size of the total moment (μB/f.u.): 0.0

Relative energy of each structure, in meV per atom: P 0; Q 134.

P | First-principles (PBE-GGA) data for a relaxed PmSmGePt crystal, as listed in Alexandria via LeMat-Bulk. Values from VASP.

Structure (Quantum ESPRESSO input):
```
&SYSTEM
  ibrav = 0, nat = 4, ntyp = 4
/
ATOMIC_SPECIES
Ge 72.64 Ge.upf
Sm 150.36 Sm.upf
Pt 195.08 Pt.upf
Pm 145.00 Pm.upf
CELL_PARAMETERS angstrom
5.1258 0.0000 0.0000
2.5629 4.4391 0.0000
2.5629 1.4797 4.1852
ATOMIC_POSITIONS angstrom
Ge 2.5629 1.4797 1.0463
Sm 5.1258 2.9594 2.0926
Pt 7.6887 4.4391 3.1389
Pm 0.0000 0.0000 0.0000
```

Size of the total moment (μB/f.u.): 0.0

Q | First-principles (PBE-GGA) data for a relaxed PmSmGePt crystal, as listed in Alexandria via LeMat-Bulk. Values from VASP.

Structure (Quantum ESPRESSO input):
```
&SYSTEM
  ibrav = 0, nat = 4, ntyp = 4
/
ATOMIC_SPECIES
Pm 145.00 Pm.upf
Sm 150.36 Sm.upf
Ge 72.64 Ge.upf
Pt 195.08 Pt.upf
CELL_PARAMETERS angstrom
-2.9072 2.2015 -1.8359
-2.0416 0.4399 3.7604
4.3304 3.5473 1.9362
ATOMIC_POSITIONS angstrom
Pm -0.3866 4.6939 1.7012
Sm 0.8072 1.3042 0.2857
Ge -2.0113 2.0689 1.1261
Pt 2.3956 3.8706 0.8479
```

Size of the total moment (μB/f.u.): 0.0

Relative energy of each structure, in meV per atom: P 152; Q 0.